# 1
## LuZnPbAu (PBE)

Data for a relaxed structure of LuZnPbAu.

- M_tot: 0.00 μB per cell
- Total energy: -14.08 eV per cell
- E_form: -0.3236 eV per atom

Lattice parameters (Å, degrees): 4.995 4.995 4.995 60.00 60.00 60.00
Sites, in units of the cell vectors:
Au1 0.500 0.500 0.500
Lu1 0.750 0.750 0.750
Zn1 0.000 0.000 0.000
Pb1 0.250 0.250 0.250



# 2
## LuZrPbAu (PBE)

Data for a relaxed structure of LuZrPbAu.

- M_tot: 0.00 μB per cell
- Total energy: -21.50 eV per cell
- E_form: -0.3608 eV per atom

Lattice parameters (Å, degrees): 5.067 5.067 5.067 60.00 60.00 60.00
Sites, in units of the cell vectors:
Au1 0.000 0.000 0.000
Lu1 0.750 0.750 0.750
Zr1 0.250 0.250 0.250
Pb1 0.500 0.500 0.500



Question: Among the records above, which one has the lowest total energy?
Answer: LuZrPbAu



Question: What is the E_form in the second record?
Answer: -0.3608 eV per atom



Question: Number 2 is which compound?
Answer: LuZrPbAu